(1)
CePm4Y10 | PBE-GGA | optimized geometry

abc: 8.936 8.936 8.936
angles: 101.56 101.56 126.82
Element x y z (fractional)
Ce 0.000 0.000 0.000
Pm 0.226 0.226 0.453
Pm 0.226 0.774 0.000
Pm 0.774 0.226 0.000
Pm 0.774 0.774 0.547
Y 0.086 0.293 0.793
Y 0.250 0.750 0.500
Y 0.293 0.086 0.793
Y 0.293 0.500 0.207
Y 0.500 0.293 0.207
Y 0.500 0.707 0.793
Y 0.707 0.500 0.793
Y 0.707 0.914 0.207
Y 0.750 0.250 0.500
Y 0.914 0.707 0.207

Calculated values
space group: I4/mmm (139)

(2)
MgSi2N | PBE-GGA | optimized geometry

abc: 6.699 6.699 6.699
angles: 139.11 139.11 59.20
Element x y z (fractional)
Mg 0.000 0.000 0.000
Mg 0.750 0.250 0.500
Si 0.299 0.625 0.174
Si 0.375 0.549 0.674
Si 0.451 0.125 0.826
Si 0.875 0.701 0.326
N 0.250 0.750 0.500
N 0.500 0.500 0.000

Calculated values
space group: I-42d (122)
energy relative to the elements, uncorrected: 243 meV per atom
energy relative to the lowest polymorph listed for this composition: 0.0000 eV per atom

Number 1: total DFT energy (no corrections) -5.708 eV per atom, calculated volume 510.8 Å³ per cell. Number 2: total DFT energy (no corrections) -4.948 eV per atom, calculated volume 127.5 Å³ per cell.